# NpPa2P

A relaxed NpPa2P crystal (PBE, Alexandria).

It has space group P4/mmm (No. 123), with a = 4.417 Å, b = 4.417 Å, c = 4.105 Å, α = 90.00°, β = 90.00° and γ = 90.00°. The asymmetric unit holds Np at (0.000, 0.000, 0.000), Pa at (0.000, 0.500, 0.500) and P at (0.500, 0.500, 0.000).

For the density of states at the Fermi level, the calculation gives 1.932 states/eV/atom. For the energy relative to the lowest polymorph listed for this composition, the calculation gives 0 meV/atom. The crystal system is tetragonal. For the formation energy, the calculation gives -405 meV/atom. Its total energy is -9.741 eV per atom.


# InPtSCl2

A relaxed InPtSCl2 crystal (PBE, Alexandria).

It has space group P4/mmm (No. 123), with a = 5.161 Å, b = 5.161 Å, c = 4.566 Å, α = 90.00°, β = 90.00° and γ = 90.00°. The asymmetric unit holds In at (0.000, 0.000, 0.000), Pt at (0.500, 0.500, 0.500), S at (0.500, 0.500, 0.000) and Cl at (0.000, 0.500, 0.500).

For the density of states at the Fermi level, the calculation gives 0.764 states/eV/atom. For the energy relative to the lowest polymorph listed for this composition, the calculation gives 0 meV/atom. The crystal system is tetragonal. The value obtained for the uncorrected formation energy is -0.212 eV/atom. Its total energy is -3.532 eV per atom.


# AgHg2AsO4

A relaxed AgHg2AsO4 crystal (PBE, Alexandria).

It has space group Fmm2 (No. 42), with a = 7.117 Å, b = 7.213 Å, c = 11.014 Å, α = 90.00°, β = 90.00° and γ = 90.00°. The asymmetric unit holds Ag at (0.000, 0.000, 0.000), Hg at (0.250, 0.250, 0.257), As at (0.000, 0.000, 0.509), O at (0.000, 0.196, 0.415) and O at (0.199, 0.000, 0.602).

For the density of states at the Fermi level, the calculation gives 0.117 states/eV/atom. For the energy relative to the lowest polymorph listed for this composition, the calculation gives 165 meV/atom. The crystal system is orthorhombic. The value obtained for the uncorrected formation energy is -0.542 eV/atom. Its total energy is -4.034 eV per atom.


# ScGeTe2N

A relaxed ScGeTe2N crystal (PBE, Alexandria).

It has space group P4/mmm (No. 123), with a = 5.599 Å, b = 5.599 Å, c = 3.613 Å, α = 90.00°, β = 90.00° and γ = 90.00°. The asymmetric unit holds Sc at (0.000, 0.000, 0.000), Ge at (0.500, 0.500, 0.500), Te at (0.000, 0.500, 0.500) and N at (0.500, 0.500, 0.000).

For the density of states at the Fermi level, the calculation gives 0.674 states/eV/atom. For the energy relative to the lowest polymorph listed for this composition, the calculation gives 61 meV/atom. The crystal system is tetragonal. The value obtained for the uncorrected formation energy is 0.258 eV/atom. Its total energy is -4.854 eV per atom.